(1)
Al2TePtAu | PBE-GGA | relaxed

```
Al2TePtAu
1.0
4.714 0.000 0.000
0.000 4.714 0.000
0.000 0.000 5.344
Al Te Pt Au
2 1 1 1
Cartesian
0.000 2.357 0.000 Al
2.357 0.000 0.000 Al
0.000 0.000 2.672 Te
2.357 2.357 0.000 Pt
2.357 2.357 2.672 Au
```

**Fermi-level density of states**: 2.284 states/eV per cell
**Crystal system**: tetragonal
**Symmetry**: P4/mmm (123)
**Total moment**: 0.000 μB per formula unit
**E_tot**: -20.21 eV per formula unit
**Formation energy (no corrections)**: -53 meV/atom

---

(2)
TlGaBi2O6 | PBE-GGA | relaxed

```
TlGaBi2O6
1.0
2.919 1.686 4.889
-2.919 1.686 4.889
0.000 -3.371 4.889
Tl Ga Bi O
1 1 2 6
Cartesian
0.000 0.000 0.000 Tl
0.000 0.000 7.200 Ga
0.000 0.000 4.008 Bi
0.000 0.000 11.403 Bi
-1.523 0.189 5.718 O
-1.223 -1.313 8.058 O
0.597 -1.413 5.718 O
-0.526 1.716 8.058 O
0.925 1.224 5.718 O
1.749 -0.403 8.058 O
```

**Fermi-level density of states**: 0.000 states/eV per cell
**Crystal system**: trigonal
**Symmetry**: R3 (146)
**Total moment**: 0.000 μB per formula unit
**E_tot**: -54.81 eV per formula unit
**Formation energy (no corrections)**: -1191 meV/atom

---

(3)
HfNbV | PBE-GGA | relaxed

```
HfNbV
1.0
4.550 0.000 0.000
0.000 5.634 3.263
0.000 -5.634 3.263
Hf Nb V
3 3 3
Cartesian
0.000 0.000 0.000 Hf
0.000 -2.621 1.979 Hf
0.000 2.621 1.979 Hf
0.000 0.000 3.492 Nb
2.275 -3.753 3.502 Nb
2.275 3.753 3.502 Nb
2.275 0.000 2.053 V
2.275 -1.242 4.229 V
2.275 1.242 4.229 V
```

**Fermi-level density of states**: 10.781 states/eV per cell
**Crystal system**: orthorhombic
**Symmetry**: Amm2 (38)
**Total moment**: 0.000 μB per formula unit
**DFT formation energy**: 0.24 eV/atom
**Energy above the lowest structure with this stoichiometry**: 4.61 kcal/mol of atoms
**E_tot**: -28.42 eV per formula unit

---

(4)
Er4NiHg3 | PBE-GGA | relaxed

```
Er4NiHg3
1.0
3.552 0.000 0.000
0.000 3.552 0.000
0.000 0.000 14.932
Er Ni Hg
4 1 3
Cartesian
0.000 0.000 1.588 Er
0.000 0.000 5.524 Er
0.000 0.000 9.408 Er
0.000 0.000 13.344 Er
1.776 1.776 0.000 Ni
1.776 1.776 3.606 Hg
1.776 1.776 7.466 Hg
1.776 1.776 11.326 Hg
```

**Fermi-level density of states**: 5.894 states/eV per cell
**Crystal system**: tetragonal
**Symmetry**: P4/mmm (123)
**Total moment**: 0.000 μB per formula unit
**DFT formation energy**: -0.46 eV/atom
**E_tot**: -28.58 eV per formula unit